Record 1
{
  "formula": "GaIBr",
  "functional": "PBE",
  "state": "optimized geometry",
  "dos_at_fermi_per_ev_atom": 0.00,
  "polymorph_energy_mev_per_atom": 0.0,
  "spacegroup": "P1, No. 1",
  "cell": [[5.2483, 0.0000, 0.0000], [1.0645, 7.0492, 0.0000], [1.1279, 0.1369, 7.2674]],
  "species": ["Ga", "Ga", "I", "I", "Br", "Br"],
  "fractional_positions": [[0.0000, 0.0000, 0.0000], [0.3178, 0.1503, 0.1373], [0.1331, 0.7499, 0.7565], [0.6570, 0.8778, 0.2794], [0.1924, 0.3935, 0.3485], [0.6633, 0.2551, 0.8905]]
}

***

Record 2
{
  "formula": "Ga3IBr3",
  "functional": "PBE",
  "state": "optimized geometry",
  "dos_at_fermi_per_ev_atom": 0.23,
  "spacegroup": "P-1, No. 2",
  "cell": [[7.6591, 0.0000, 0.0000], [-1.0253, 7.6392, 0.0000], [-1.2262, -1.1184, 9.3432]],
  "species": ["Ga", "Ga", "Ga", "Ga", "Ga", "Ga", "I", "I", "Br", "Br", "Br", "Br", "Br", "Br"],
  "fractional_positions": [[0.0948, 0.0290, 0.2348], [0.2283, 0.9462, 0.7019], [0.2984, 0.4451, 0.9678], [0.7016, 0.5549, 0.0322], [0.7717, 0.0538, 0.2981], [0.9052, 0.9710, 0.7652], [0.4477, 0.1756, 0.2050], [0.5523, 0.8244, 0.7950], [0.0423, 0.7580, 0.0368], [0.1912, 0.8279, 0.4388], [0.3470, 0.2690, 0.7075], [0.6530, 0.7310, 0.2925], [0.8088, 0.1721, 0.5612], [0.9577, 0.2420, 0.9632]]
}

***

Record 3
{
  "formula": "GaIBr2",
  "functional": "PBE",
  "state": "optimized geometry",
  "dos_at_fermi_per_ev_atom": 1.02,
  "polymorph_energy_mev_per_atom": 429.8,
  "spacegroup": "R-3m, No. 166",
  "cell": [[1.8644, 1.0764, 11.9168], [-1.8644, 1.0764, 11.9168], [0.0000, -2.1528, 11.9168]],
  "species": ["Ga", "I", "Br", "Br"],
  "fractional_positions": [[0.0000, 0.0000, 0.0000], [0.5000, 0.5000, 0.5000], [0.3802, 0.3802, 0.3802], [0.6198, 0.6198, 0.6198]]
}

***

Record 4
{
  "formula": "GaIBr",
  "functional": "PBE",
  "state": "optimized geometry",
  "polymorph_energy_mev_per_atom": 85.3,
  "spacegroup": "P1, No. 1",
  "cell": [[4.1243, 0.0000, 0.0000], [2.0474, 7.5173, 0.0000], [0.0349, 2.3952, 8.4235]],
  "species": ["Ga", "Ga", "I", "I", "Br", "Br"],
  "fractional_positions": [[0.0000, 0.0000, 0.0000], [0.0974, 0.8176, 0.5959], [0.1685, 0.6600, 0.0229], [0.4164, 0.1720, 0.8159], [0.7100, 0.5911, 0.5607], [0.9493, 0.0998, 0.2288]]
}

***

Record 5
{
  "formula": "Ga3I3Br",
  "functional": "PBE",
  "state": "optimized geometry",
  "spacegroup": "P-1, No. 2",
  "cell": [[8.3241, 0.0000, 0.0000], [0.5578, 8.8496, 0.0000], [2.4995, 1.7589, 8.4846]],
  "species": ["Ga", "Ga", "Ga", "Ga", "Ga", "Ga", "I", "I", "I", "I", "I", "I", "Br", "Br"],
  "fractional_positions": [[0.0075, 0.2811, 0.0026], [0.2151, 0.1372, 0.7994], [0.2498, 0.8822, 0.9824], [0.7502, 0.1178, 0.0176], [0.7849, 0.8628, 0.2006], [0.9925, 0.7189, 0.9974], [0.0420, 0.4374, 0.2144], [0.0765, 0.9543, 0.2685], [0.3999, 0.2608, 0.5321], [0.6001, 0.7392, 0.4679], [0.9235, 0.0457, 0.7315], [0.9580, 0.5626, 0.7856], [0.4992, 0.2429, 0.9877], [0.5008, 0.7571, 0.0123]]
}

***

Record 6
{
  "formula": "Ga4I3Br",
  "functional": "PBE",
  "state": "optimized geometry",
  "spacegroup": "P2/c, No. 13",
  "cell": [[8.0156, 0.0000, 0.0000], [0.0000, 9.2624, 0.0000], [-2.6723, 0.0000, 7.5666]],
  "species": ["Ga", "Ga", "Ga", "Ga", "Ga", "Ga", "Ga", "Ga", "I", "I", "I", "I", "I", "I", "Br", "Br"],
  "fractional_positions": [[0.2384, 0.1192, 0.0038], [0.2384, 0.8808, 0.5038], [0.2453, 0.3687, 0.4930], [0.2453, 0.6313, 0.9930], [0.7547, 0.3687, 0.0070], [0.7547, 0.6313, 0.5070], [0.7616, 0.1192, 0.4962], [0.7616, 0.8808, 0.9962], [0.0000, 0.3745, 0.7500], [0.0000, 0.6255, 0.2500], [0.5000, 0.1252, 0.7500], [0.5000, 0.3744, 0.2500], [0.5000, 0.6256, 0.7500], [0.5000, 0.8748, 0.2500], [0.0000, 0.1249, 0.2500], [0.0000, 0.8751, 0.7500]]
}

***

Record 7
{
  "formula": "Ga3I2Br",
  "functional": "PBE",
  "state": "optimized geometry",
  "spacegroup": "Cmcm, No. 63",
  "cell": [[6.1416, -7.5867, 0.0000], [6.1416, 7.5867, 0.0000], [0.0000, 0.0000, 4.6681]],
  "species": ["Ga", "Ga", "Ga", "Ga", "Ga", "Ga", "I", "I", "I", "I", "Br", "Br"],
  "fractional_positions": [[0.0643, 0.9357, 0.7500], [0.3177, 0.3754, 0.7500], [0.3754, 0.3177, 0.2500], [0.6246, 0.6823, 0.7500], [0.6823, 0.6246, 0.2500], [0.9357, 0.0643, 0.2500], [0.0288, 0.3023, 0.7500], [0.3023, 0.0288, 0.2500], [0.6977, 0.9712, 0.7500], [0.9712, 0.6977, 0.2500], [0.3526, 0.6474, 0.7500], [0.6474, 0.3526, 0.2500]]
}

***

Record 8
{
  "formula": "GaIBr",
  "functional": "PBE",
  "state": "optimized geometry",
  "dos_at_fermi_per_ev_atom": 0.36,
  "polymorph_energy_mev_per_atom": 143.3,
  "spacegroup": "C2, No. 5",
  "cell": [[2.0804, -6.8008, 0.0000], [2.0804, 6.8008, 0.0000], [-0.0117, 0.0000, 4.8249]],
  "species": ["Ga", "I", "Br"],
  "fractional_positions": [[0.0000, 0.0000, 0.0000], [0.6367, 0.3633, 0.0000], [0.9323, 0.0677, 0.5000]]
}

***

Number 1: total energy -2.6898 eV/atom, formation energy from raw total energies -606 meV/atom. Number 2: total energy -2.7300 eV/atom, formation energy from raw total energies -494 meV/atom. Number 3: total energy -2.2398 eV/atom, formation energy from raw total energies -259 meV/atom. Number 4: total energy -2.6044 eV/atom, formation energy from raw total energies -521 meV/atom. Number 5: total energy -2.6196 eV/atom, formation energy from raw total energies -419 meV/atom. Number 6: total energy -2.6893 eV/atom, formation energy from raw total energies -385 meV/atom. Number 7: total energy -2.7136 eV/atom, formation energy from raw total energies -405 meV/atom. Number 8: total energy -2.5465 eV/atom, formation energy from raw total energies -463 meV/atom.